Entry from Alexandria: Cs4Tb3ScO8 after structural relaxation (PBE-GGA).

Raw formation energy: -2579 meV/atom
ρ: 6.636 Mg/m³

Unit cell a=7.0507 b=7.0507 c=20.5995 alpha=90.00 beta=90.00 gamma=120.00
Space group R-3m (No. 166, hexagonal axes)
Symmetry-distinct sites (fractional):
Cs: 0.0000 0.0000 0.0000 [3 per cell]
Cs: 0.0000 0.5000 0.0000 [9 per cell]
Tb: 0.0000 0.5000 0.5000 [9 per cell]
Sc: 0.0000 0.0000 0.5000 [3 per cell]
O: 0.0000 0.0000 0.2216 [6 per cell]
O: 0.0130 0.5065 0.2207 [18 per cell]